VASP calculation (PBE-GGA) on an optimized crystal structure of KFeSN2.

Values from the calculation:
Mass density in g/cm3: 3.63
DOS(E_F) in states/eV/cell: 4.507
Formation energy from raw total energies in eV per atom: 0.7340
Excess energy over the best structure of this formula in the dataset in eV/atom: 0.000

Cell: 3.786 3.786 4.949 Å, 90.00 90.00 90.00°
Space group P4/mmm (No. 123)
Asymmetric unit:
K: 0.000 0.000 0.000 (multiplicity 1)
Fe: 0.500 0.500 0.500 (multiplicity 1)
S: 0.500 0.500 0.000 (multiplicity 1)
N: 0.000 0.500 0.500 (multiplicity 2)